Record 1
Computed, not measured: a relaxed ZrTlGa2Cl8 crystal at the PBE-GGA level of DFT.

```
12
Lattice="6.469 0.000 0.000 0.446 6.700 0.000 0.752 0.601 8.740" Properties=species:S:1:pos:R:3 pbc="T T T"
Zr 0.000 0.000 0.000
Tl 0.376 0.300 4.370
Ga 3.789 3.646 6.375
Ga 3.878 3.655 2.365
Cl 1.911 5.655 1.751
Cl 2.303 2.527 8.643
Cl 2.515 6.160 6.923
Cl 2.524 2.711 4.411
Cl 5.143 4.590 4.329
Cl 5.152 1.141 1.817
Cl 5.363 4.774 0.097
Cl 5.756 1.646 6.990
```

Calculated values
Raw formation energy in eV per formula unit: -14.184
Total DFT energy (no corrections) in eV for the cell shown: -45.93

Record 2
Computed, not measured: a relaxed TmGa2Cl8 crystal at the PBE-GGA level of DFT.

```
11
Lattice="6.791 -4.256 0.000 6.791 4.256 0.000 -0.834 0.000 6.461" Properties=species:S:1:pos:R:3 pbc="T T T"
Tm 0.000 0.000 0.000
Ga 1.928 0.000 4.133
Ga 10.821 0.000 2.328
Cl 5.396 2.555 1.440
Cl 1.965 0.000 1.760
Cl 7.353 2.555 5.021
Cl 3.982 0.000 4.860
Cl 8.767 0.000 1.601
Cl 5.396 -2.555 1.440
Cl 10.784 0.000 4.700
Cl 7.353 -2.555 5.021
```

Calculated values
Raw formation energy in eV per formula unit: -14.974
Total DFT energy (no corrections) in eV for the cell shown: -40.27

Record 3
Computed, not measured: a relaxed TmGaCl6 crystal at the PBE-GGA level of DFT.

```
8
Lattice="3.121 -6.379 0.000 3.121 6.379 0.000 -1.852 0.000 5.956" Properties=species:S:1:pos:R:3 pbc="T T T"
Tm 0.000 0.000 0.000
Ga 2.196 0.000 2.978
Cl 1.200 1.696 1.625
Cl 0.224 0.000 4.427
Cl 1.200 -1.696 1.625
Cl 3.191 1.696 4.332
Cl 4.167 0.000 1.530
Cl 3.191 -1.696 4.332
```

Calculated values
Raw formation energy in eV per formula unit: -12.708
Total DFT energy (no corrections) in eV for the cell shown: -31.29

Record 4
Computed, not measured: a relaxed TmGaCl4 crystal at the PBE-GGA level of DFT.

```
6
Lattice="6.450 -2.003 0.000 6.450 2.003 0.000 -1.489 0.000 7.577" Properties=species:S:1:pos:R:3 pbc="T T T"
Tm 0.000 0.000 0.000
Ga 5.706 0.000 3.788
Cl 0.943 0.000 2.386
Cl 4.841 0.000 0.708
Cl 6.571 0.000 6.869
Cl 10.469 0.000 5.191
```

Calculated values
Raw formation energy in eV per formula unit: -10.424
Total DFT energy (no corrections) in eV for the cell shown: -25.31

Record 5
Computed, not measured: a relaxed UGaCl6 crystal at the PBE-GGA level of DFT.

```
8
Lattice="3.525 -6.051 0.000 3.525 6.051 0.000 -1.837 0.000 6.719" Properties=species:S:1:pos:R:3 pbc="T T T"
U 0.000 0.000 0.000
Ga 2.606 0.000 3.360
Cl 1.065 1.752 1.507
Cl 0.234 0.000 5.261
Cl 1.065 -1.752 1.507
Cl 4.148 1.752 5.212
Cl 4.979 0.000 1.459
Cl 4.148 -1.752 5.212
```

Calculated values
Raw formation energy in eV per formula unit: -11.483
Total DFT energy (no corrections) in eV for the cell shown: -36.88

Record 6
Computed, not measured: a relaxed UGa2Cl7 crystal at the PBE-GGA level of DFT.

```
20
Lattice="8.383 -4.225 0.000 8.383 4.225 0.000 -7.199 0.000 10.159" Properties=species:S:1:pos:R:3 pbc="T T T"
U 2.984 2.573 7.619
U 6.583 -2.573 2.540
Ga -0.113 1.626 9.934
Ga 6.080 1.626 5.305
Ga 3.487 -1.626 4.854
Ga 9.680 -1.626 0.225
Cl 0.630 1.327 3.171
Cl 3.529 2.873 5.117
Cl 6.583 3.326 2.540
Cl 2.438 2.873 10.122
Cl -2.970 -1.327 8.250
Cl 1.608 0.181 8.404
Cl 5.208 -0.181 3.325
Cl 4.359 0.181 6.834
Cl 7.959 -0.181 1.755
Cl 12.536 1.327 1.909
Cl 7.129 -2.873 0.037
Cl 2.984 -3.326 7.619
Cl 6.037 -2.873 5.042
Cl 8.937 -1.327 6.988
```

Calculated values
Raw formation energy in eV per formula unit: -12.297
Total DFT energy (no corrections) in eV for the cell shown: -85.13

Record 7
Computed, not measured: a relaxed UGa2Cl6 crystal at the PBE-GGA level of DFT.

```
18
Lattice="7.413 0.000 0.000 0.000 7.159 0.000 -7.041 0.000 12.086" Properties=species:S:1:pos:R:3 pbc="T T T"
U 0.000 0.000 0.000
U -3.520 3.579 6.043
Ga -3.361 0.156 9.871
Ga 0.159 3.423 3.828
Ga 0.213 3.736 8.258
Ga 3.733 7.003 2.215
Cl -1.105 1.294 2.019
Cl -4.626 2.286 8.062
Cl -2.367 5.242 7.715
Cl 1.153 5.496 1.672
Cl 2.250 1.394 0.096
Cl -1.270 2.185 6.139
Cl 1.642 4.974 5.947
Cl -1.878 5.764 11.990
Cl -0.781 1.663 10.414
Cl 2.740 1.916 4.371
Cl 4.998 4.873 4.024
Cl 1.477 5.865 10.067
```

Calculated values
Raw formation energy in eV per formula unit: -11.650
Total DFT energy (no corrections) in eV for the cell shown: -80.14

Record 8
Computed, not measured: a relaxed UGa6Cl12 crystal at the PBE-GGA level of DFT.

```
19
Lattice="5.338 3.082 6.261 -5.338 3.082 6.261 0.000 -6.163 6.261" Properties=species:S:1:pos:R:3 pbc="T T T"
U 0.000 0.000 0.000
Ga -1.765 -0.228 5.444
Ga 1.080 -1.415 5.444
Ga 0.685 1.643 5.444
Ga -0.685 -1.643 13.338
Ga -1.080 1.415 13.338
Ga 1.765 0.228 13.338
Cl -1.222 -4.474 7.734
Cl -4.485 -1.179 11.049
Cl -2.369 -0.826 7.769
Cl -3.263 3.295 7.734
Cl -0.469 -2.465 11.013
Cl -1.900 1.639 11.013
Cl 1.900 -1.639 7.769
Cl 0.469 2.465 7.769
Cl 3.263 -3.295 11.049
Cl 2.369 0.826 11.013
Cl 4.485 1.179 7.734
Cl 1.222 4.474 11.049
```

Calculated values
Raw formation energy in eV per formula unit: -18.432
Total DFT energy (no corrections) in eV for the cell shown: -70.04